No. 1
# Ac2Ni2Ge2H

A relaxed structure of Ac2Ni2Ge2H (PBE, the Alexandria database).

DOS at the Fermi energy	0.646	states/eV per atom
VASP energy	-5.195	eV per atom

abc: 4.2453 6.1064 6.1875
angles: 73.37 69.94 69.66
With the nearest neighbours (Å) after each atom.
Element x y z (fractional)
Ac (0.5512, 0.1972, 0.7005)  2 H 2.84
Ac (0.4488, 0.8028, 0.2995)  2 H 2.84
Ni (0.1827, 0.7461, 0.8886)  1 H 1.70
Ni (0.8173, 0.2539, 0.1114)  1 H 1.70
Ge (0.1976, 0.3859, 0.2189)  3 Ni 2.38-2.54
Ge (0.8024, 0.6141, 0.7811)  3 Ni 2.38-2.54
H (0.0000, 0.0000, 0.0000)  2 Ni 1.70

=====

No. 2
# AcGeHOs

A relaxed structure of AcGeHOs (PBE, the Alexandria database).

DOS at the Fermi energy	0.230	states/eV per atom
VASP energy	-6.304	eV per atom

abc: 4.3464 4.3464 7.9597
angles: 90.00 90.00 90.00
With the nearest neighbours (Å) after each atom.
Element x y z (fractional)
Os (0.5000, 0.5000, 0.0000)  4 Ge 2.50
Os (0.0000, 0.0000, 0.0000)  4 Ge 2.50
H (0.5000, 0.5000, 0.5000)  4 Ac 2.58
H (0.0000, 0.0000, 0.5000)  4 Ac 2.58
Ac (0.0000, 0.5000, 0.3246)  4 H 2.58
Ac (0.5000, 0.0000, 0.6754)  4 H 2.58
Ge (0.5000, 0.0000, 0.1554)  4 Os 2.50
Ge (0.0000, 0.5000, 0.8446)  4 Os 2.50

=====

No. 3
# Ac2GeHPd6

A relaxed structure of Ac2GeHPd6 (PBE, the Alexandria database).

DOS at the Fermi energy	0.658	states/eV per atom
VASP energy	-5.420	eV per atom

abc: 5.9498 7.0025 5.9469
angles: 64.64 60.00 90.00
With the nearest neighbours (Å) after each atom.
Element x y z (fractional)
Pd (0.7715, 0.8106, 0.9619)  1 H 2.06
Pd (0.7328, 0.1889, 0.0384)  1 H 2.06
Pd (0.7721, 0.8127, 0.4562)  1 H 2.05
Pd (0.2279, 0.1873, 0.5438)  1 H 2.05
Pd (0.2672, 0.8111, 0.9616)  1 H 2.06
Pd (0.2285, 0.1894, 0.0381)  1 H 2.06
Ge (0.5000, 0.5000, 0.0000)  6 Pd 2.56-2.57
Ac (0.7694, 0.3076, 0.4608)  6 Pd 3.06
Ac (0.2306, 0.6924, 0.5392)  6 Pd 3.06
H (0.0000, 0.0000, 0.0000)  6 Pd 2.05-2.06

=====

No. 4
# AcGeHPd6

A relaxed structure of AcGeHPd6 (PBE, the Alexandria database).

DOS at the Fermi energy	0.277	states/eV per atom
VASP energy	-5.180	eV per atom

abc: 7.4318 7.7936 7.7396
angles: 120.23 118.69 90.00
With the nearest neighbours (Å) after each atom.
Element x y z (fractional)
Ac (0.1745, 0.4245, 0.3491)  9 Pd 3.03-3.34
Ac (0.8255, 0.5755, 0.6509)  9 Pd 3.03-3.34
Pd (0.1760, 0.8800, 0.7520)  1 H 2.03
Pd (0.5760, 0.3720, 0.7520)  1 H 2.03
Pd (0.8240, 0.6280, 0.2480)  1 H 2.03
Pd (0.5146, 0.2646, 0.0291)  2 H 1.96
Pd (0.8945, 0.1445, 0.7890)  2 Ge 2.46
Pd (0.1760, 0.3720, 0.7520)  1 H 2.03
Pd (0.4240, 0.6280, 0.2480)  1 H 2.03
Pd (0.4854, 0.7354, 0.9709)  2 H 1.96
Pd (0.1055, 0.8555, 0.2110)  2 Ge 2.46
Pd (0.5760, 0.8800, 0.7520)  1 H 2.03
Pd (0.8240, 0.1200, 0.2480)  1 H 2.03
Pd (0.4240, 0.1200, 0.2480)  1 H 2.03
Ge (0.5000, 0.0000, 0.5000)  6 Pd 2.40-2.46
Ge (0.0000, 0.0000, 0.5000)  6 Pd 2.40-2.46
H (0.5000, 0.5000, 0.0000)  6 Pd 1.96-2.03
H (0.5000, 0.0000, 0.0000)  6 Pd 1.96-2.03

=====

No. 5
# Ac3GeH2Pd6

A relaxed structure of Ac3GeH2Pd6 (PBE, the Alexandria database).

DOS at the Fermi energy	0.371	states/eV per atom
VASP energy	-5.153	eV per atom

abc: 5.8229 5.8229 9.1604
angles: 90.00 90.00 120.00
With the nearest neighbours (Å) after each atom.
Element x y z (fractional)
Pd (0.8306, 0.1694, 0.7246)  1 H 1.85
Pd (0.1694, 0.8306, 0.2754)  1 H 1.85
Pd (0.1694, 0.3388, 0.2754)  1 H 1.85
Pd (0.8306, 0.6612, 0.7246)  1 H 1.85
Pd (0.3388, 0.1694, 0.7246)  1 H 1.85
Pd (0.6612, 0.8306, 0.2754)  1 H 1.85
Ge (0.0000, 0.0000, 0.5000)  6 Pd 2.67
Ac (0.0000, 0.0000, 0.0000)  6 Pd 3.05
Ac (0.3333, 0.6667, 0.6157)  6 Pd 3.08
Ac (0.6667, 0.3333, 0.3843)  6 Pd 3.08
H (0.3333, 0.6667, 0.1858)  3 Pd 1.85
H (0.6667, 0.3333, 0.8142)  3 Pd 1.85

=====

No. 6
# Ac2Pm4Ge3H2

A relaxed structure of Ac2Pm4Ge3H2 (PBE, the Alexandria database).

DOS at the Fermi energy	0.885	states/eV per atom
VASP energy	-4.936	eV per atom

abc: 4.7521 4.7521 12.9470
angles: 100.58 100.58 90.00
With the nearest neighbours (Å) after each atom.
Element x y z (fractional)
Ac (0.2990, 0.2990, 0.5979)  1 H 2.67
Ac (0.7010, 0.7010, 0.4021)  1 H 2.67
Pm (0.4230, 0.9230, 0.8459)  2 H 2.41
Pm (0.9230, 0.4230, 0.8459)  2 H 2.41
Pm (0.0770, 0.5770, 0.1541)  2 H 2.41
Pm (0.5770, 0.0770, 0.1541)  2 H 2.41
H (0.4059, 0.4059, 0.8118)  4 Pm 2.41, 1 Ac 2.67
H (0.5941, 0.5941, 0.1882)  4 Pm 2.41, 1 Ac 2.67
Ge (0.8346, 0.8346, 0.6691)  4 Pm 3.25, 5 Ac 3.34-3.48
Ge (0.1654, 0.1654, 0.3309)  4 Pm 3.25, 5 Ac 3.34-3.48
Ge (0.0000, 0.0000, 0.0000)  8 Pm 3.06

=====

No. 7
# AcPmGeH

A relaxed structure of AcPmGeH (PBE, the Alexandria database).

DOS at the Fermi energy	0.461	states/eV per atom
VASP energy	-4.599	eV per atom

abc: 5.1445 5.1445 5.1445
angles: 60.00 60.00 60.00
With the nearest neighbours (Å) after each atom.
Element x y z (fractional)
Pm (0.0000, 0.0000, 0.0000)  4 Ge 3.15, 4 H 3.15
H (0.2500, 0.2500, 0.2500)  4 Pm 3.15, 4 Ac 3.15
Ac (0.5000, 0.5000, 0.5000)  4 H 3.15, 4 Ge 3.15
Ge (0.7500, 0.7500, 0.7500)  4 Pm 3.15, 4 Ac 3.15

=====

No. 8
# Ac3Ge2H2Pt4

A relaxed structure of Ac3Ge2H2Pt4 (PBE, the Alexandria database).

DOS at the Fermi energy	0.565	states/eV per atom
VASP energy	-5.408	eV per atom

abc: 4.0444 4.0444 14.7984
angles: 97.85 97.85 90.00
With the nearest neighbours (Å) after each atom.
Element x y z (fractional)
Ge (0.4406, 0.4406, 0.8812)  4 Pt 2.49
Ge (0.5594, 0.5594, 0.1188)  4 Pt 2.49
Pt (0.8905, 0.3905, 0.7810)  2 Ge 2.49
Pt (0.1095, 0.6095, 0.2190)  2 Ge 2.49
Pt (0.6095, 0.1095, 0.2190)  2 Ge 2.49
Pt (0.3905, 0.8905, 0.7810)  2 Ge 2.49
H (0.7190, 0.7190, 0.4379)  1 Ac 2.64
H (0.2810, 0.2810, 0.5621)  1 Ac 2.64
Ac (0.1900, 0.1900, 0.3801)  1 H 2.64
Ac (0.0000, 0.0000, 0.0000)  8 Ge 3.34
Ac (0.8100, 0.8100, 0.6199)  1 H 2.64